# 1
VASP calculation (GGA-PBE) on an optimized crystal structure of KNa.

Lattice parameters (Å, degrees): 14.063 14.063 4.427 90.00 90.00 90.00
Positions (direct):
1 K 0.138 0.833 0.000
2 K 0.862 0.167 0.000
3 K 0.167 0.138 0.000
4 K 0.833 0.862 0.000
5 K 0.638 0.333 0.500
6 K 0.362 0.667 0.500
7 K 0.667 0.638 0.500
8 K 0.333 0.362 0.500
9 Na 0.469 0.142 0.000
10 Na 0.531 0.858 0.000
11 Na 0.858 0.469 0.000
12 Na 0.142 0.531 0.000
13 Na 0.969 0.642 0.500
14 Na 0.031 0.358 0.500
15 Na 0.358 0.969 0.500
16 Na 0.642 0.031 0.500

Properties
- Spin magnetization: 0.00 μB/f.u.
- Energy of formation from the pure elements: 0.03 eV per atom
- SG: I4/m
- Final energy: -1.175 eV/atom
- DOS at the Fermi energy: 11.8 states/eV per cell


# 2
VASP calculation (GGA-PBE) on an optimized crystal structure of KY2Ir.

Lattice parameters (Å, degrees): 3.521 3.531 11.063 71.41 90.00 90.00
Positions (direct):
1 Ir 0.500 0.250 0.250
2 K 0.500 0.750 0.750
3 Y 0.000 0.901 0.098
4 Y 0.000 0.599 0.402

Properties
- Spin magnetization: 0.00 μB/f.u.
- Energy of formation from the pure elements: -0.29 eV per atom
- SG: P4/mmm
- Final energy: -6.009 eV/atom
- DOS at the Fermi energy: 3.3 states/eV per cell


# 3
VASP calculation (GGA-PBE) on an optimized crystal structure of BaLi2Sc.

Lattice parameters (Å, degrees): 5.576 5.576 5.576 60.00 60.00 60.00
Positions (direct):
1 Sc 0.000 0.000 0.000
2 Ba 0.500 0.500 0.500
3 Li 0.250 0.250 0.250
4 Li 0.750 0.750 0.750

Properties
- Spin magnetization: 0.00 μB/f.u.
- Energy of formation from the pure elements: 0.28 eV per atom
- SG: Fm-3m
- Final energy: -2.738 eV/atom
- DOS at the Fermi energy: 5.9 states/eV per cell


# 4
VASP calculation (GGA-PBE) on an optimized crystal structure of VAg2I8.

Lattice parameters (Å, degrees): 7.158 8.657 8.657 87.16 104.97 104.97
Last column: magnetic moment on the atom in μB.
Positions (direct):
1 V 0.000 0.000 0.000  1.48
2 Ag 0.363 0.829 0.829  -0.02
3 Ag 0.637 0.171 0.171  -0.02
4 I 0.805 0.904 0.234  -0.09
5 I 0.195 0.766 0.096  -0.09
6 I 0.708 0.779 0.779  -0.03
7 I 0.292 0.221 0.221  -0.03
8 I 0.805 0.234 0.904  -0.09
9 I 0.195 0.096 0.766  -0.09
10 I 0.193 0.583 0.583  -0.01
11 I 0.807 0.417 0.417  -0.01

Properties
- Spin magnetization: 1.02 μB/f.u.
- SG: C2/m
- Final energy: -2.660 eV/atom
- Uncorrected formation energy: -0.18 eV per atom
- DOS at the Fermi energy: 10.4 states/eV per cell


# 5
VASP calculation (GGA-PBE) on an optimized crystal structure of La2NdAl.

Lattice parameters (Å, degrees): 5.003 4.915 4.915 90.00 90.00 90.00
Positions (direct):
1 Nd 0.500 0.500 0.500
2 Al 0.500 0.000 0.000
3 La 0.000 0.000 0.500
4 La 0.000 0.500 0.000

Properties
- Spin magnetization: 0.00 μB/f.u.
- Energy of formation from the pure elements: -0.18 eV per atom
- SG: P4/mmm
- Final energy: -4.770 eV/atom
- DOS at the Fermi energy: 5.4 states/eV per cell


# 6
VASP calculation (GGA-PBE) on an optimized crystal structure of Na2LiSbI6.

Lattice parameters (Å, degrees): 7.720 7.720 8.922 64.37 64.36 59.99
Positions (direct):
1 Na 0.517 0.517 0.448
2 Na 0.019 0.019 0.943
3 Li 0.684 0.684 0.948
4 Sb 0.346 0.346 0.962
5 I 0.601 0.287 0.178
6 I 0.287 0.934 0.178
7 I 0.934 0.601 0.179
8 I 0.444 0.732 0.726
9 I 0.732 0.097 0.726
10 I 0.098 0.444 0.726

Properties
- Spin magnetization: 0.00 μB/f.u.
- SG: R3
- Final energy: -2.668 eV/atom
- Uncorrected formation energy: -0.87 eV per atom
- DOS at the Fermi energy: 0.0 states/eV per cell


# 7
VASP calculation (GGA-PBE) on an optimized crystal structure of LiIn3.

Lattice parameters (Å, degrees): 5.953 6.388 6.221 149.64 125.24 63.64
Positions (direct):
1 Li 0.673 0.996 0.667
2 In 0.743 0.735 0.005
3 In 0.268 0.267 0.008
4 In 0.150 0.502 0.654

Properties
- Spin magnetization: 0.00 μB/f.u.
- Energy of formation from the pure elements: -0.11 eV per atom
- SG: P1
- Final energy: -2.638 eV/atom
- DOS at the Fermi energy: 1.1 states/eV per cell


# 8
VASP calculation (GGA-PBE) on an optimized crystal structure of Tb2Sc4S9.

Lattice parameters (Å, degrees): 6.632 6.632 17.951 90.00 90.00 60.00
Positions (direct):
1 Tb 0.000 0.000 0.352
2 Tb 0.000 0.000 0.148
3 Tb 0.000 0.000 0.648
4 Tb 0.000 0.000 0.852
5 Sc 0.333 0.333 0.989
6 Sc 0.333 0.333 0.489
7 Sc 0.667 0.667 0.011
8 Sc 0.333 0.333 0.181
9 Sc 0.667 0.667 0.511
10 Sc 0.666 0.667 0.319
11 Sc 0.334 0.333 0.681
12 Sc 0.667 0.667 0.819
13 S 0.000 0.318 0.750
14 S 0.318 0.682 0.750
15 S 0.682 0.000 0.750
16 S 0.000 0.682 0.250
17 S 0.682 0.318 0.250
18 S 0.318 0.000 0.250
19 S 0.644 0.976 0.417
20 S 0.976 0.379 0.417
21 S 0.379 0.644 0.417
22 S 0.620 0.024 0.083
23 S 0.356 0.621 0.083
24 S 0.024 0.356 0.083
25 S 0.356 0.024 0.583
26 S 0.024 0.621 0.583
27 S 0.621 0.356 0.583
28 S 0.380 0.976 0.917
29 S 0.644 0.379 0.917
30 S 0.976 0.644 0.917

Properties
- Spin magnetization: 0.00 μB/f.u.
- SG: P-3c1
- Final energy: -6.707 eV/atom
- Uncorrected formation energy: -1.92 eV per atom
- DOS at the Fermi energy: 0.0 states/eV per cell


# 9
VASP calculation (GGA-PBE) on an optimized crystal structure of Tm4Zn3Pb.

Lattice parameters (Å, degrees): 5.053 7.254 10.108 90.00 90.00 90.00
Positions (direct):
1 Pb 0.000 0.500 0.000
2 Pb 0.000 0.500 0.500
3 Zn 0.000 0.000 0.000
4 Zn 0.000 0.000 0.500
5 Zn 0.500 0.000 0.750
6 Zn 0.500 0.000 0.250
7 Zn 0.499 0.500 0.750
8 Zn 0.501 0.500 0.250
9 Tm 0.500 0.765 0.000
10 Tm 0.500 0.765 0.500
11 Tm 0.500 0.235 0.000
12 Tm 0.500 0.235 0.500
13 Tm 0.000 0.765 0.750
14 Tm 0.000 0.765 0.250
15 Tm 0.000 0.235 0.250
16 Tm 0.000 0.235 0.750

Properties
- Spin magnetization: 0.00 μB/f.u.
- Energy of formation from the pure elements: -0.35 eV per atom
- SG: P4/mmm
- Final energy: -3.525 eV/atom
- DOS at the Fermi energy: 12.4 states/eV per cell


# 10
VASP calculation (GGA-PBE) on an optimized crystal structure of TaCu2Ir2.

Lattice parameters (Å, degrees): 7.013 7.013 2.891 90.00 90.00 90.00
Positions (direct):
1 Ir 0.175 0.675 0.500
2 Ir 0.675 0.825 0.500
3 Ir 0.825 0.325 0.500
4 Ir 0.325 0.175 0.500
5 Cu 0.378 0.878 0.000
6 Cu 0.878 0.622 0.000
7 Cu 0.622 0.122 0.000
8 Cu 0.122 0.378 0.000
9 Ta 0.000 0.000 0.000
10 Ta 0.500 0.500 0.000

Properties
- Spin magnetization: 0.00 μB/f.u.
- Energy of formation from the pure elements: -0.01 eV per atom
- SG: P4/mbm
- Final energy: -7.566 eV/atom
- DOS at the Fermi energy: 5.6 states/eV per cell


# 11
VASP calculation (GGA-PBE) on an optimized crystal structure of CsNaMg2Sn.

Lattice parameters (Å, degrees): 5.763 5.763 6.143 90.00 90.00 90.00
Positions (direct):
1 Cs 0.500 0.500 0.500
2 Na 0.000 0.000 0.500
3 Mg 0.000 0.500 0.000
4 Mg 0.500 0.000 0.000
5 Sn 0.000 0.000 0.000

Properties
- Spin magnetization: 0.00 μB/f.u.
- Energy of formation from the pure elements: 0.09 eV per atom
- SG: P4/mmm
- Final energy: -1.781 eV/atom
- DOS at the Fermi energy: 3.3 states/eV per cell


# 12
VASP calculation (GGA-PBE) on an optimized crystal structure of U6SiGe2.

Lattice parameters (Å, degrees): 2.907 8.190 8.190 120.00 90.00 90.00
Positions (direct):
1 U 0.500 0.327 0.327
2 U 0.500 0.673 0.673
3 U 0.500 0.000 0.673
4 U 0.500 0.673 0.000
5 U 0.500 0.327 0.000
6 U 0.500 0.000 0.327
7 Si 0.000 0.000 0.000
8 Ge 0.000 0.333 0.667
9 Ge 0.000 0.667 0.333

Properties
- Spin magnetization: 0.00 μB/f.u.
- SG: P6/mmm
- Final energy: -9.194 eV/atom
- Uncorrected formation energy: -0.04 eV per atom
- DOS at the Fermi energy: 19.2 states/eV per cell


# 13
VASP calculation (GGA-PBE) on an optimized crystal structure of Mg14AlZn.

Lattice parameters (Å, degrees): 6.317 6.317 10.074 90.00 90.00 120.00
Positions (direct):
1 Mg 0.999 0.500 0.000
2 Mg 0.999 0.499 0.500
3 Mg 0.500 0.001 0.000
4 Mg 0.501 0.001 0.500
5 Mg 0.500 0.500 0.000
6 Mg 0.501 0.499 0.500
7 Mg 0.164 0.836 0.251
8 Mg 0.164 0.836 0.749
9 Mg 0.164 0.327 0.251
10 Mg 0.164 0.327 0.749
11 Mg 0.673 0.836 0.251
12 Mg 0.673 0.836 0.749
13 Mg 0.667 0.333 0.249
14 Mg 0.667 0.333 0.751
15 Al 0.000 0.000 0.000
16 Zn 0.000 0.000 0.500

Properties
- Spin magnetization: 0.00 μB/f.u.
- Energy of formation from the pure elements: 0.01 eV per atom
- SG: P-6m2
- Final energy: -1.703 eV/atom
- DOS at the Fermi energy: 8.8 states/eV per cell


# 14
VASP calculation (GGA-PBE) on an optimized crystal structure of ScGe3S.

Lattice parameters (Å, degrees): 5.183 5.183 5.183 90.00 90.00 90.00
Positions (direct):
1 Sc 0.000 0.000 0.000
2 Ge 0.000 0.500 0.000
3 Ge 0.000 0.000 0.500
4 Ge 0.500 0.000 0.000
5 S 0.500 0.500 0.500

Properties
- Spin magnetization: 0.00 μB/f.u.
- SG: Pm-3m
- Final energy: -4.078 eV/atom
- Uncorrected formation energy: 0.78 eV per atom
- DOS at the Fermi energy: 5.1 states/eV per cell


# 15
VASP calculation (GGA-PBE) on an optimized crystal structure of Dy2YTl4.

Lattice parameters (Å, degrees): 5.137 5.137 9.394 74.13 74.13 60.00
Positions (direct):
1 Dy 0.132 0.132 0.605
2 Dy 0.868 0.868 0.395
3 Y 0.000 0.000 0.000
4 Tl 0.430 0.430 0.709
5 Tl 0.280 0.280 0.160
6 Tl 0.720 0.720 0.840
7 Tl 0.570 0.570 0.291

Properties
- Spin magnetization: 0.00 μB/f.u.
- Energy of formation from the pure elements: -0.06 eV per atom
- SG: R-3m
- Final energy: -3.648 eV/atom
- DOS at the Fermi energy: 6.7 states/eV per cell


# 16
VASP calculation (GGA-PBE) on an optimized crystal structure of NdGd2Pb.

Lattice parameters (Å, degrees): 4.156 4.156 7.212 90.00 90.00 90.00
Last column: magnetic moment on the atom in μB.
Positions (direct):
1 Pb 0.500 0.500 0.000  -0.02
2 Gd 0.000 0.000 0.776  7.22
3 Gd 0.000 0.000 0.224  7.22
4 Nd 0.500 0.500 0.500  0.22

Properties
- Spin magnetization: 15.47 μB/f.u.
- Energy of formation from the pure elements: -0.23 eV per atom
- SG: P4/mmm
- Final energy: -9.391 eV/atom
- DOS at the Fermi energy: 6.5 states/eV per cell


# 17
VASP calculation (GGA-PBE) on an optimized crystal structure of TiTlSnMo2.

Lattice parameters (Å, degrees): 4.734 5.174 4.734 90.00 90.00 90.00
Last column: magnetic moment on the atom in μB.
Positions (direct):
1 Mo 0.000 0.000 0.500  0.87
2 Mo 0.500 0.000 0.000  1.33
3 Tl 0.500 0.500 0.500  -0.01
4 Sn 0.000 0.500 0.000  -0.06
5 Ti 0.000 0.000 0.000  -0.12

Properties
- Spin magnetization: 2.29 μB/f.u.
- Energy of formation from the pure elements: 1.24 eV per atom
- SG: P4/mmm
- Final energy: -5.941 eV/atom
- DOS at the Fermi energy: 7.6 states/eV per cell